1.
# LiHPd2Au (PBE, optimized geometry)
# E_tot, eV/cell: -20.7
data_LiHPd2Au
_chemical_formula_sum 'Li1 H1 Pd2 Au1'
_space_group_name_H-M_alt 'P 4/m m m'
_space_group_IT_number 123
_space_group_name_Hall '-P 4 2'
_cell_length_a 3.934
_cell_length_b 3.934
_cell_length_c 4.109
_cell_angle_alpha 90.00
_cell_angle_beta 90.00
_cell_angle_gamma 90.00
loop_
_atom_site_label
_atom_site_fract_x
_atom_site_fract_y
_atom_site_fract_z
Li1 0.000 0.000 0.000
H1 0.000 0.000 0.500
Pd1 0.000 0.500 0.500
Au1 0.500 0.500 0.000

=====

2.
# Li2H6PtAu (PBE, optimized geometry)
# E_tot, eV/cell: -142.5
# Magnetization, μB per formula unit: 0.0
data_Li2H6PtAu
_chemical_formula_sum 'Li8 H24 Pt4 Au4'
_space_group_name_H-M_alt 'F m -3 m'
_space_group_IT_number 225
_space_group_name_Hall '-F 4 2 3'
_cell_length_a 7.187
_cell_length_b 7.187
_cell_length_c 7.187
_cell_angle_alpha 90.00
_cell_angle_beta 90.00
_cell_angle_gamma 90.00
loop_
_atom_site_label
_atom_site_fract_x
_atom_site_fract_y
_atom_site_fract_z
Li1 0.250 0.250 0.250
H1 0.000 0.000 0.239
Pt1 0.000 0.000 0.000
Au1 0.000 0.000 0.500

=====

3.
# Sr2LiH6Au (PBE, optimized geometry)
# E_tot, eV/cell: -127.9
data_Sr2LiH6Au
_chemical_formula_sum 'Sr8 Li4 H24 Au4'
_space_group_name_H-M_alt 'F m -3 m'
_space_group_IT_number 225
_space_group_name_Hall '-F 4 2 3'
_cell_length_a 7.765
_cell_length_b 7.765
_cell_length_c 7.765
_cell_angle_alpha 90.00
_cell_angle_beta 90.00
_cell_angle_gamma 90.00
loop_
_atom_site_label
_atom_site_fract_x
_atom_site_fract_y
_atom_site_fract_z
Sr1 0.250 0.250 0.250
Li1 0.000 0.000 0.000
H1 0.000 0.000 0.245
Au1 0.000 0.000 0.500